# CaNbAu (PBE-GGA, optimized geometry)
data_CaNbAu
_chemical_formula_sum 'Ca2 Nb2 Au2'
_symmetry_space_group_name_H-M 'P 1'
_symmetry_Int_Tables_number 1
_cell_length_a 3.3203
_cell_length_b 5.8816
_cell_length_c 7.8271
_cell_angle_alpha 76.93
_cell_angle_beta 77.87
_cell_angle_gamma 73.65
loop_
_symmetry_equiv_pos_as_xyz
'x,y,z'
loop_
_atom_site_label
_atom_site_type_symbol
_atom_site_fract_x
_atom_site_fract_y
_atom_site_fract_z
_atom_site_occupancy
Ca1 Ca 0.0000 0.0000 0.0000 1
Ca2 Ca 0.3751 0.5442 0.7020 1
Nb1 Nb 0.2194 0.1873 0.3683 1
Nb2 Nb 0.6653 0.4846 0.1766 1
Au1 Au 0.6559 0.0127 0.6728 1
Au2 Au 0.9358 0.7471 0.3753 1
# ΔE to the lowest computed polymorph: 185 meV per atom
# E_tot: -31.0 eV/cell